{"formula": "RbPaBr6", "functional": "GGA-PBE", "state": "optimized geometry", "cell": [[7.698, 0.000, 0.000], [3.849, 6.667, 0.000], [3.849, 2.222, 7.034]], "species": ["Rb", "Pa", "Br", "Br", "Br", "Br", "Br", "Br"], "fractional_positions": [[0.500, 0.500, 0.500], [0.000, 0.000, 0.000], [0.909, 0.909, 0.775], [0.407, 0.909, 0.775], [0.091, 0.593, 0.225], [0.593, 0.091, 0.225], [0.091, 0.091, 0.225], [0.909, 0.407, 0.775]], "sg": "No. 166", "density_g_cm3": 3.66, "formation_energy_uncorrected_ev_per_atom": -1.5266, "n_ef_per_ev_fu": 0.0, "total_energy_ev_per_fu": -32.7}

{"formula": "RbPaBr5", "functional": "GGA-PBE", "state": "optimized geometry", "cell": [[7.833, 0.362, 1.945], [2.120, 7.550, 1.945], [1.066, 0.847, 11.419]], "species": ["Rb", "Rb", "Pa", "Pa", "Br", "Br", "Br", "Br", "Br", "Br", "Br", "Br", "Br", "Br"], "fractional_positions": [[0.535, 0.465, 0.750], [0.465, 0.535, 0.250], [0.000, 0.000, 0.000], [0.000, 0.000, 0.500], [0.310, 0.116, 0.887], [0.359, 0.787, 0.495], [0.116, 0.310, 0.387], [0.942, 0.058, 0.750], [0.213, 0.641, 0.005], [0.787, 0.359, 0.995], [0.058, 0.942, 0.250], [0.884, 0.690, 0.613], [0.641, 0.213, 0.505], [0.690, 0.884, 0.113]], "sg": "No. 15", "density_g_cm3": 3.70, "formation_energy_uncorrected_ev_per_atom": -1.5506, "n_ef_per_ev_fu": 1.9, "total_energy_ev_per_fu": -29.7}

{"formula": "Rb2PaBr7", "functional": "GGA-PBE", "state": "optimized geometry", "cell": [[1.169, 2.232, 8.718], [-2.689, -7.259, 6.942], [9.354, -3.449, 4.352]], "species": ["Rb", "Rb", "Rb", "Rb", "Pa", "Pa", "Br", "Br", "Br", "Br", "Br", "Br", "Br", "Br", "Br", "Br", "Br", "Br", "Br", "Br"], "fractional_positions": [[0.636, 0.908, 0.711], [0.744, 0.408, 0.211], [0.256, 0.592, 0.789], [0.364, 0.092, 0.289], [0.892, 0.250, 0.750], [0.108, 0.750, 0.250], [0.667, 0.537, 0.785], [0.010, 0.037, 0.285], [0.247, 0.845, 0.980], [0.264, 0.150, 0.617], [0.578, 0.250, 0.750], [0.927, 0.345, 0.480], [0.032, 0.350, 0.883], [0.968, 0.650, 0.117], [0.073, 0.655, 0.520], [0.422, 0.750, 0.250], [0.736, 0.850, 0.383], [0.753, 0.155, 0.020], [0.990, 0.963, 0.715], [0.333, 0.463, 0.215]], "sg": "No. 15", "density_g_cm3": 3.82, "formation_energy_uncorrected_ev_per_atom": -1.5447, "total_energy_ev_per_fu": -38.6}

{"formula": "Rb3Pa2S5Br2", "functional": "GGA-PBE", "state": "optimized geometry", "cell": [[5.305, 0.000, 0.000], [0.000, 5.305, 0.000], [-2.652, -2.652, 14.190]], "species": ["Rb", "Rb", "Rb", "Pa", "Pa", "S", "S", "S", "S", "S", "Br", "Br"], "fractional_positions": [[0.177, 0.177, 0.355], [0.823, 0.823, 0.645], [0.000, 0.000, 0.000], [0.407, 0.407, 0.815], [0.593, 0.593, 0.185], [0.596, 0.096, 0.192], [0.404, 0.904, 0.808], [0.096, 0.596, 0.192], [0.904, 0.404, 0.808], [0.500, 0.500, 0.000], [0.697, 0.697, 0.394], [0.303, 0.303, 0.606]], "sg": "No. 139", "density_g_cm3": 4.32, "formation_energy_uncorrected_ev_per_atom": -1.6020, "n_ef_per_ev_fu": 9.2, "total_energy_ev_per_fu": -65.1}

{"formula": "RbPaTl2Br8", "functional": "GGA-PBE", "state": "optimized geometry", "cell": [[-3.914, 5.189, -3.420], [-5.673, -5.164, -0.886], [-3.916, 2.785, 8.722]], "species": ["Rb", "Pa", "Tl", "Tl", "Br", "Br", "Br", "Br", "Br", "Br", "Br", "Br"], "fractional_positions": [[0.000, 0.000, 0.500], [0.000, 0.000, 0.000], [0.499, 0.498, 0.727], [0.501, 0.502, 0.273], [0.133, 0.787, 0.195], [0.686, 0.810, 0.999], [0.865, 0.212, 0.194], [0.867, 0.213, 0.805], [0.314, 0.190, 0.001], [0.135, 0.788, 0.806], [0.630, 0.734, 0.501], [0.370, 0.266, 0.499]], "sg": "No. 2", "density_g_cm3": 4.01, "formation_energy_uncorrected_ev_per_atom": -1.2920, "total_energy_ev_per_fu": -44.1}

{"formula": "RbPaTlBr6", "functional": "GGA-PBE", "state": "optimized geometry", "cell": [[-6.868, 3.960, 2.538], [-0.222, -8.190, -1.473], [3.256, -2.326, 12.440]], "species": ["Rb", "Rb", "Pa", "Pa", "Tl", "Tl", "Br", "Br", "Br", "Br", "Br", "Br", "Br", "Br", "Br", "Br", "Br", "Br"], "fractional_positions": [[0.333, 0.667, 0.250], [0.667, 0.333, 0.750], [0.667, 0.333, 0.250], [0.333, 0.667, 0.750], [0.000, 0.000, 0.000], [0.000, 0.000, 0.500], [0.674, 0.614, 0.126], [0.940, 0.326, 0.126], [0.326, 0.940, 0.626], [0.060, 0.674, 0.874], [0.386, 0.326, 0.374], [0.940, 0.614, 0.374], [0.614, 0.940, 0.874], [0.674, 0.060, 0.374], [0.060, 0.386, 0.626], [0.386, 0.060, 0.126], [0.614, 0.674, 0.626], [0.326, 0.386, 0.874]], "sg": "No. 163", "density_g_cm3": 4.24, "formation_energy_uncorrected_ev_per_atom": -1.4303, "n_ef_per_ev_fu": 0.4, "total_energy_ev_per_fu": -35.7}

{"formula": "Pa2RuBr2", "functional": "GGA-PBE", "state": "optimized geometry", "cell": [[3.901, 0.000, 0.728], [1.896, 3.424, 0.659], [-0.127, -0.084, 11.490]], "species": ["Pa", "Pa", "Ru", "Br", "Br"], "fractional_positions": [[0.716, 0.202, 0.365], [0.284, 0.798, 0.635], [0.000, 0.500, 0.500], [0.450, 0.917, 0.182], [0.550, 0.083, 0.818]], "sg": "No. 12", "density_g_cm3": 7.80, "formation_energy_uncorrected_ev_per_atom": -0.8671, "n_ef_per_ev_fu": 7.6, "total_energy_ev_per_fu": -35.9}

{"formula": "Pa2SBr8", "functional": "GGA-PBE", "state": "optimized geometry", "cell": [[5.608, 0.427, 1.101], [1.216, 9.800, 4.802], [0.725, 0.393, 10.950]], "species": ["Pa", "Pa", "S", "Br", "Br", "Br", "Br", "Br", "Br", "Br", "Br"], "fractional_positions": [[0.145, 0.857, 0.857], [0.855, 0.143, 0.143], [0.000, 0.000, 0.000], [0.857, 0.903, 0.377], [0.143, 0.623, 0.097], [0.642, 0.859, 0.859], [0.358, 0.141, 0.141], [0.857, 0.377, 0.903], [0.143, 0.097, 0.623], [0.291, 0.709, 0.709], [0.709, 0.291, 0.291]], "sg": "No. 12", "density_g_cm3": 3.25, "formation_energy_uncorrected_ev_per_atom": -1.3733, "n_ef_per_ev_fu": 0.0, "total_energy_ev_per_fu": -51.6}